[1]
Material: CaLaTe2
Method: DFT, PBE
State: relaxed

a b c (Å): 4.512 4.512 7.971
angles (deg): 73.63 73.63 59.98
Sites, in units of the cell vectors:
Ca: 0.750 0.750 0.750
Te: 0.003 0.003 0.990
Te: 0.497 0.497 0.510
La: 0.250 0.250 0.250

ΔE to the lowest computed polymorph, meV per atom: 8.7
Magnetic moment, μB per formula unit: 0.00
E_form (uncorrected), meV/atom: -1586.1
VASP energy, eV per atom: -4.89
Symmetry: C2/m
N(E_F), states/eV/f.u.: 2.04



[2]
Material: NdMgZrTl
Method: DFT, PBE
State: relaxed

a b c (Å): 5.250 5.250 5.250
angles (deg): 60.00 60.00 60.00
Sites, in units of the cell vectors:
Zr: 0.250 0.250 0.250
Mg: 0.500 0.500 0.500
Tl: 0.000 0.000 0.000
Nd: 0.750 0.750 0.750

Magnetic moment, μB per formula unit: 0.00
Formation energy from the elements, eV/f.u.: -0.2
VASP energy, eV per atom: -4.38
Symmetry: F-43m
N(E_F), states/eV/f.u.: 1.90



[3]
Material: PrPaV4
Method: DFT, PBE
State: relaxed

a b c (Å): 5.369 5.369 5.369
angles (deg): 60.00 60.00 60.00
Sites, in units of the cell vectors:
V: 0.627 0.627 0.627
Pr: 0.250 0.250 0.250
V: 0.627 0.118 0.627
V: 0.118 0.627 0.627
V: 0.627 0.627 0.118
Pa: 0.000 0.000 0.000

Magnetic moment, μB per formula unit: 0.00
Formation energy from the elements, eV/f.u.: 1.7
VASP energy, eV per atom: -8.17
Symmetry: F-43m
N(E_F), states/eV/f.u.: 8.85



[4]
Material: CeEuTlIn
Method: DFT, PBE
State: relaxed

a b c (Å): 5.552 5.552 5.552
angles (deg): 60.00 60.00 60.00
Sites, in units of the cell vectors:
Tl: 0.000 0.000 0.000
In: 0.500 0.500 0.500
Eu: 0.250 0.250 0.250
Ce: 0.750 0.750 0.750

Magnetic moment, μB per formula unit: 8.32
Formation energy from the elements, eV/f.u.: -1.3
VASP energy, eV per atom: -5.66
Symmetry: F-43m
N(E_F), states/eV/f.u.: 14.44



[5]
Material: GdPaSe2
Method: DFT, PBE
State: relaxed

a b c (Å): 5.034 5.034 5.034
angles (deg): 60.00 60.00 60.00
Sites, in units of the cell vectors:
Se: 0.750 0.750 0.750
Gd: 0.000 0.000 0.000
Se: 0.250 0.250 0.250
Pa: 0.500 0.500 0.500

ΔE to the lowest computed polymorph, meV per atom: 286.3
Magnetic moment, μB per formula unit: 8.60
E_form (uncorrected), meV/atom: -1214.3
VASP energy, eV per atom: -8.85
Symmetry: Fm-3m
N(E_F), states/eV/f.u.: 5.64



[6]
Material: Hf4GaNi2
Method: DFT, PBE
State: relaxed

a b c (Å): 4.329 4.329 8.712
angles (deg): 75.61 75.61 60.00
Sites, in units of the cell vectors:
Hf: 0.119 0.119 0.643
Hf: 0.881 0.881 0.357
Hf: 0.296 0.296 0.112
Ga: 0.500 0.500 0.500
Hf: 0.704 0.704 0.888
Ni: 0.601 0.601 0.197
Ni: 0.399 0.399 0.803

Magnetic moment, μB per formula unit: 0.00
Formation energy from the elements, eV/f.u.: -1.0
VASP energy, eV per atom: -7.92
Symmetry: R-3m
N(E_F), states/eV/f.u.: 8.51



[7]
Material: TlIn2Os
Method: DFT, PBE
State: relaxed

a b c (Å): 3.085 3.085 10.588
angles (deg): 90.00 90.00 114.64
Sites, in units of the cell vectors:
Os: 0.500 0.500 0.250
In: 0.000 0.000 0.457
In: 0.000 0.000 0.043
Tl: 0.500 0.500 0.750

ΔE to the lowest computed polymorph, meV per atom: 166.9
Magnetic moment, μB per formula unit: 0.00
Formation energy from the elements, eV/f.u.: 2.1
VASP energy, eV per atom: -4.24
Symmetry: Cmmm
N(E_F), states/eV/f.u.: 3.08



[8]
Material: Nd4Sm2YTm2
Method: DFT, PBE
State: relaxed

a b c (Å): 5.122 8.106 8.061
angles (deg): 107.58 90.00 108.42
Sites, in units of the cell vectors:
Nd: 0.555 0.110 0.331
Tm: 0.332 0.665 0.000
Y: 0.000 0.000 0.000
Nd: 0.778 0.555 0.670
Tm: 0.668 0.335 0.000
Nd: 0.445 0.890 0.669
Sm: 0.888 0.777 0.331
Nd: 0.222 0.445 0.330
Sm: 0.112 0.223 0.669

Magnetic moment, μB per formula unit: 0.00
Formation energy from the elements, eV/f.u.: 0.2
VASP energy, eV per atom: -4.86
Symmetry: C2/m
N(E_F), states/eV/f.u.: 14.36



[9]
Material: UCuAgO5
Method: DFT, PBE
State: relaxed

a b c (Å): 5.852 5.852 8.074
angles (deg): 102.77 102.77 113.55
Sites, in units of the cell vectors:
O: 0.909 0.091 0.750
O: 0.317 0.954 0.646
O: 0.375 0.268 0.076
U: 0.000 0.000 0.500
O: 0.954 0.317 0.146
O: 0.683 0.046 0.354
Ag: 0.677 0.323 0.750
O: 0.268 0.375 0.576
O: 0.091 0.909 0.250
Ag: 0.323 0.677 0.250
O: 0.046 0.683 0.854
Cu: 0.310 0.690 0.750
O: 0.625 0.732 0.924
U: 0.000 0.000 0.000
Cu: 0.690 0.310 0.250
O: 0.732 0.625 0.424

Magnetic moment, μB per formula unit: 0.00
E_form (uncorrected), meV/atom: -1593.9
VASP energy, eV per atom: -6.97
Symmetry: C2/c
N(E_F), states/eV/f.u.: 5.94



[10]
Material: SrAlPt2
Method: DFT, PBE
State: relaxed

a b c (Å): 3.180 3.180 7.487
angles (deg): 90.00 90.00 90.00
Sites, in units of the cell vectors:
Pt: 0.000 0.000 0.941
Sr: 0.500 0.500 0.250
Pt: 0.000 0.000 0.559
Al: 0.500 0.500 0.750

Magnetic moment, μB per formula unit: 0.00
Formation energy from the elements, eV/f.u.: -3.0
VASP energy, eV per atom: -5.14
Symmetry: P4/mmm
N(E_F), states/eV/f.u.: 2.24



[11]
Material: AcHg2Cl6
Method: DFT, PBE
State: relaxed

a b c (Å): 7.600 7.600 8.123
angles (deg): 62.11 62.11 60.00
Sites, in units of the cell vectors:
Cl: 0.115 0.703 0.735
Cl: 0.547 0.934 0.262
Hg: 0.735 0.735 0.794
Cl: 0.257 0.547 0.262
Cl: 0.703 0.448 0.735
Ac: 0.331 0.331 0.008
Cl: 0.448 0.115 0.735
Hg: 0.596 0.596 0.211
Cl: 0.934 0.257 0.262

Magnetic moment, μB per formula unit: 0.28
E_form (uncorrected), meV/atom: -1231.0
VASP energy, eV per atom: -2.99
Symmetry: R3
N(E_F), states/eV/f.u.: 6.23



[12]
Material: HoZrAgRu
Method: DFT, PBE
State: relaxed

a b c (Å): 4.842 4.842 4.842
angles (deg): 60.00 60.00 60.00
Sites, in units of the cell vectors:
Ag: 0.500 0.500 0.500
Ru: 0.000 0.000 0.000
Ho: 0.250 0.250 0.250
Zr: 0.750 0.750 0.750

Magnetic moment, μB per formula unit: 0.00
Formation energy from the elements, eV/f.u.: -1.1
VASP energy, eV per atom: -6.59
Symmetry: F-43m
N(E_F), states/eV/f.u.: 3.37



[13]
Material: PrNdMgIr
Method: DFT, PBE
State: relaxed

a b c (Å): 5.211 5.211 5.211
angles (deg): 60.00 60.00 60.00
Sites, in units of the cell vectors:
Pr: 0.000 0.000 0.000
Nd: 0.500 0.500 0.500
Ir: 0.250 0.250 0.250
Mg: 0.750 0.750 0.750

Magnetic moment, μB per formula unit: 0.00
Formation energy from the elements, eV/f.u.: -1.1
VASP energy, eV per atom: -5.29
Symmetry: F-43m
N(E_F), states/eV/f.u.: 2.95